(1)
The following is a DFT calculation (GGA-PBE) of a geometry-optimized Cs4GaHg2Bi2 structure.

Unit cell a=8.721 b=8.721 c=6.430 alpha=91.88 beta=91.88 gamma=70.88
Element x y z (fractional)
1 Cs 0.123 0.627 0.798
2 Cs 0.373 0.877 0.202
3 Cs 0.627 0.123 0.798
4 Cs 0.877 0.373 0.202
5 Ga 0.500 0.500 0.500
6 Hg 0.156 0.156 0.696
7 Hg 0.844 0.844 0.304
8 Bi 0.337 0.337 0.291
9 Bi 0.663 0.663 0.709

---

(2)
The following is a DFT calculation (GGA-PBE) of a geometry-optimized Sc7Co2Te2 structure.

Unit cell a=8.699 b=8.699 c=8.699 alpha=155.77 beta=66.79 gamma=118.83
Element x y z (fractional)
1 Sc 0.000 0.000 0.000
2 Sc 0.283 0.419 0.864
3 Sc 0.315 0.629 0.686
4 Sc 0.555 0.419 0.136
5 Sc 0.622 0.272 0.351
6 Sc 0.921 0.272 0.649
7 Sc 0.942 0.629 0.314
8 Co 0.170 0.935 0.235
9 Co 0.701 0.935 0.765
10 Te 0.266 0.766 0.500
11 Te 0.665 0.665 0.000

Properties
- uncorrected formation energy (meV per atom) = -598

---

(3)
The following is a DFT calculation (GGA-PBE) of a geometry-optimized Ag2C structure.

Unit cell a=4.521 b=4.521 c=2.695 alpha=90.00 beta=90.00 gamma=120.00
Element x y z (fractional)
1 Ag 0.333 0.667 0.000
2 Ag 0.667 0.333 0.000
3 C 0.000 0.000 0.500

Properties
- excess energy over the best structure of this formula in the dataset (eV/atom) = 1.405

---

(4)
The following is a DFT calculation (GGA-PBE) of a geometry-optimized YPbBr2 structure.

Unit cell a=7.262 b=7.262 c=5.734 alpha=103.04 beta=103.04 gamma=29.24
Element x y z (fractional)
1 Y 0.000 0.000 0.000
2 Pb 0.500 0.500 0.500
3 Br 0.342 0.342 0.804
4 Br 0.658 0.658 0.196

Properties
- excess energy over the best structure of this formula in the dataset (eV/atom) = 0.009
- uncorrected formation energy (meV per atom) = -1017

---

(5)
The following is a DFT calculation (GGA-PBE) of a geometry-optimized CrHg2Os structure.

Unit cell a=5.113 b=5.113 c=5.113 alpha=133.00 beta=133.00 gamma=68.65
Element x y z (fractional)
1 Cr 0.000 0.000 0.000
2 Hg 0.250 0.750 0.500
3 Hg 0.750 0.250 0.500
4 Os 0.500 0.500 0.000

Properties
- excess energy over the best structure of this formula in the dataset (eV/atom) = 0.413

---

(6)
The following is a DFT calculation (GGA-PBE) of a geometry-optimized SrYZnGe structure.

Unit cell a=5.234 b=5.234 c=5.234 alpha=60.00 beta=60.00 gamma=60.00
Element x y z (fractional)
1 Sr 0.000 0.000 0.000
2 Y 0.500 0.500 0.500
3 Zn 0.750 0.750 0.750
4 Ge 0.250 0.250 0.250

---

(7)
The following is a DFT calculation (GGA-PBE) of a geometry-optimized LiY3Al8 structure.

Unit cell a=9.577 b=9.577 c=9.577 alpha=33.56 beta=33.56 gamma=33.56
Element x y z (fractional)
1 Li 0.000 0.000 0.000
2 Y 0.371 0.371 0.371
3 Y 0.499 0.499 0.499
4 Y 0.878 0.878 0.878
5 Al 0.186 0.186 0.186
6 Al 0.437 0.437 0.935
7 Al 0.437 0.935 0.437
8 Al 0.437 0.936 0.936
9 Al 0.686 0.686 0.686
10 Al 0.935 0.437 0.437
11 Al 0.936 0.437 0.936
12 Al 0.936 0.936 0.437

---

(8)
The following is a DFT calculation (GGA-PBE) of a geometry-optimized BeCuMo3 structure.

Unit cell a=4.196 b=4.196 c=4.196 alpha=90.00 beta=90.00 gamma=90.00
Element x y z (fractional)
1 Be 0.000 0.000 0.000
2 Cu 0.500 0.500 0.500
3 Mo 0.000 0.000 0.500
4 Mo 0.000 0.500 0.000
5 Mo 0.500 0.000 0.000

Properties
- excess energy over the best structure of this formula in the dataset (eV/atom) = 0.000

---

(9)
The following is a DFT calculation (GGA-PBE) of a geometry-optimized Sm4In2S structure.

Unit cell a=6.711 b=6.711 c=9.191 alpha=121.43 beta=121.43 gamma=35.47
Element x y z (fractional)
1 Sm 0.091 0.091 0.352
2 Sm 0.336 0.336 0.934
3 Sm 0.664 0.664 0.066
4 Sm 0.909 0.909 0.648
5 In 0.373 0.373 0.335
6 In 0.627 0.627 0.665
7 S 0.000 0.000 0.000

Properties
- excess energy over the best structure of this formula in the dataset (eV/atom) = 0.000
- uncorrected formation energy (meV per atom) = -852

---

(10)
The following is a DFT calculation (GGA-PBE) of a geometry-optimized PuSc2HgO8 structure.

Unit cell a=4.919 b=4.919 c=6.770 alpha=93.37 beta=93.37 gamma=87.18
Element x y z (fractional)
1 Pu 0.000 0.000 0.000
2 Sc 0.482 0.482 0.740
3 Sc 0.518 0.518 0.260
4 Hg 0.000 0.000 0.500
5 O 0.190 0.190 0.764
6 O 0.210 0.210 0.191
7 O 0.297 0.703 0.000
8 O 0.318 0.682 0.500
9 O 0.682 0.318 0.500
10 O 0.703 0.297 0.000
11 O 0.790 0.790 0.809
12 O 0.810 0.810 0.236

Properties
- uncorrected formation energy (meV per atom) = -2260

---

(11)
The following is a DFT calculation (GGA-PBE) of a geometry-optimized TlFe3Pt structure.

Unit cell a=4.754 b=4.754 c=4.754 alpha=90.00 beta=90.00 gamma=90.00
Element x y z (fractional)
1 Tl 0.000 0.000 0.000
2 Fe 0.000 0.500 0.500
3 Fe 0.500 0.000 0.500
4 Fe 0.500 0.500 0.000
5 Pt 0.500 0.500 0.500

Properties
- excess energy over the best structure of this formula in the dataset (eV/atom) = 0.000

---

(12)
The following is a DFT calculation (GGA-PBE) of a geometry-optimized Pr5UP6 structure.

Unit cell a=7.190 b=7.190 c=7.183 alpha=99.61 beta=99.61 gamma=120.00
Element x y z (fractional)
1 Pr 0.000 0.000 0.000
2 Pr 0.166 0.834 0.500
3 Pr 0.330 0.670 0.000
4 Pr 0.670 0.330 0.000
5 Pr 0.834 0.166 0.500
6 U 0.500 0.500 0.500
7 P 0.103 0.420 0.260
8 P 0.264 0.264 0.740
9 P 0.420 0.103 0.260
10 P 0.580 0.897 0.740
11 P 0.736 0.736 0.260
12 P 0.897 0.580 0.740

---

(13)
The following is a DFT calculation (GGA-PBE) of a geometry-optimized TcHPd2Ru structure.

Unit cell a=3.871 b=3.871 c=4.095 alpha=90.00 beta=90.00 gamma=90.00
Element x y z (fractional)
1 Tc 0.000 0.000 0.000
2 H 0.000 0.000 0.500
3 Pd 0.000 0.500 0.500
4 Pd 0.500 0.000 0.500
5 Ru 0.500 0.500 0.000

---

(14)
The following is a DFT calculation (GGA-PBE) of a geometry-optimized AcPrAsAu structure.

Unit cell a=5.386 b=5.386 c=5.386 alpha=60.00 beta=60.00 gamma=60.00
Element x y z (fractional)
1 Ac 0.000 0.000 0.000
2 Pr 0.500 0.500 0.500
3 As 0.750 0.750 0.750
4 Au 0.250 0.250 0.250

---

(15)
The following is a DFT calculation (GGA-PBE) of a geometry-optimized LiNdEr2Tl4 structure.

Unit cell a=9.416 b=9.416 c=9.416 alpha=32.40 beta=32.40 gamma=32.40
Element x y z (fractional)
1 Li 0.000 0.000 0.000
2 Nd 0.500 0.500 0.500
3 Er 0.255 0.255 0.255
4 Er 0.745 0.745 0.745
5 Tl 0.121 0.121 0.121
6 Tl 0.372 0.372 0.372
7 Tl 0.628 0.628 0.628
8 Tl 0.879 0.879 0.879

---

(16)
The following is a DFT calculation (GGA-PBE) of a geometry-optimized Rb2LiTe3 structure.

Unit cell a=7.390 b=7.390 c=9.285 alpha=128.86 beta=128.86 gamma=39.88
Element x y z (fractional)
1 Rb 0.000 0.000 0.000
2 Rb 0.552 0.552 0.549
3 Li 0.778 0.778 0.453
4 Te 0.275 0.275 0.996
5 Te 0.277 0.277 0.552
6 Te 0.775 0.775 0.148

Properties
- uncorrected formation energy (meV per atom) = -743

---

(17)
The following is a DFT calculation (GGA-PBE) of a geometry-optimized Li2CaHg2Pb structure.

Unit cell a=4.954 b=4.954 c=6.518 alpha=90.00 beta=90.00 gamma=120.00
Element x y z (fractional)
1 Li 0.333 0.667 0.168
2 Li 0.667 0.333 0.832
3 Ca 0.000 0.000 0.500
4 Hg 0.333 0.667 0.712
5 Hg 0.667 0.333 0.288
6 Pb 0.000 0.000 0.000

---

So what do the calculations give for final energy? Going down the list: -1.895; -6.490; -2.944; -4.396; -4.583; -3.892; -4.681; -7.227; -4.921; -7.840; -5.853; -7.064; -6.449; -5.060; -3.477; -2.955; -2.098 eV/atom.